Model P:
Crystalline TbPmAs2 at its relaxed geometry, computed with PBE-GGA.

As for the total moment: 0.0 μB per formula unit. The density of states at the Fermi level is 1.4 states/eV/cell.

The structure belongs to space group R-3m (No. 166, hexagonal axes); the cell edges are 4.1909, 4.1909 and 20.5063 Å and the angles 90.00°, 90.00° and 120.00°. The distinct sites, in fractional coordinates, are Tb at (0.0000, 0.0000, 0.0000), Pm at (0.0000, 0.0000, 0.5000) and As at (0.0000, 0.0000, 0.2520).

Model Q:
Crystalline TbPmAs2 at its relaxed geometry, computed with PBE-GGA.

As for the total moment: 0.0 μB per formula unit. The density of states at the Fermi level is 9.2 states/eV/cell.

The structure belongs to space group Fm-3m (No. 225); the cell edges are 7.2530, 7.2530 and 7.2530 Å and the angles 90.00°, 90.00° and 90.00°. The distinct sites, in fractional coordinates, are Tb at (0.0000, 0.0000, 0.0000), Pm at (0.0000, 0.0000, 0.5000) and As at (0.2500, 0.2500, 0.2500).

The most stable arrangement is model P, and the next structure is 45.2 kJ/mol of atoms less stable.